CsCuNiO2 | the Alexandria database | PBE with a Hubbard U | optimized geometry; uncorrected energy = -4.362 eV per atom; D(E_F) = 0.0 states/eV per cell; space group = Cmme
1.0
4.941 0.000 0.000
0.000 5.808 0.000
0.000 -2.904 6.231
Cs Cu Ni O
2 2 2 4
Cartesian
1.224 2.904 3.116 Cs
3.718 0.000 3.116 Cs
0.000 0.000 0.000 Cu
0.000 2.904 0.000 Cu
2.471 4.356 0.000 Ni
2.471 1.452 0.000 Ni
3.404 2.904 5.195 O
3.404 2.904 1.036 O
1.538 0.000 5.195 O
1.538 0.000 1.036 O